VASP calculation (PBE) on a relaxed TiPd12Au6 crystal.

Summary:
E_tot	-4.813	eV/atom
spin magnetization	0.00	μB per formula unit
DFT formation energy	-0.08	eV/atom
DOS(E_F)	42.6	states/eV per cell

a b c (Å): 9.8153 9.8153 11.4296
angles (deg): 90.00 90.00 120.00
Space group R-3 (No. 148, hexagonal axes)
Asymmetric unit:
Ti 0.0000 0.0000 0.0000 x3
Pd 0.0412 0.1814 0.8167 x18
Pd 0.0611 0.8587 0.4065 x18
Au 0.0256 0.4345 0.7107 x18

VASP calculation (PBE) on a relaxed TiPd2Au crystal.

Summary:
E_tot	-5.720	eV/atom
spin magnetization	0.00	μB per formula unit
DFT formation energy	-0.33	eV/atom
DOS(E_F)	5.7	states/eV per cell

a b c (Å): 4.9839 2.8718 9.2533
angles (deg): 90.00 100.29 90.00
Space group Cm (No. 8)
Asymmetric unit:
Ti 0.0000 0.0000 0.0000 x2
Pd 0.0915 0.5000 0.7693 x2
Pd 0.4084 0.0000 0.2310 x2
Au 0.1670 0.0000 0.5003 x2

VASP calculation (PBE) on a relaxed TiPd6Au crystal.

Summary:
E_tot	-5.663	eV/atom
polymorph energy (0 for the lowest one)	0	meV per atom
spin magnetization	0.00	μB per formula unit
DFT formation energy	-0.37	eV/atom
DOS(E_F)	8.3	states/eV per cell

a b c (Å): 5.6524 5.6524 3.9046
angles (deg): 90.00 90.00 90.00
Space group P4/mmm (No. 123)
Asymmetric unit:
Ti 0.0000 0.0000 0.0000 x1
Pd 0.0000 0.5000 0.0000 x2
Pd 0.2424 0.2424 0.5000 x4
Au 0.5000 0.5000 0.0000 x1

VASP calculation (PBE) on a relaxed Ti2Pd6Au crystal.

Summary:
E_tot	-6.024	eV/atom
polymorph energy (0 for the lowest one)	70	meV per atom
spin magnetization	0.00	μB per formula unit
DFT formation energy	-0.44	eV/atom
DOS(E_F)	3.6	states/eV per cell

a b c (Å): 7.6049 7.6049 2.8244
angles (deg): 90.00 90.00 120.00
Space group P-62m (No. 189)
Asymmetric unit:
Ti 0.3333 0.6667 0.0000 x2
Pd 0.0000 0.3162 0.0000 x3
Pd 0.0000 0.6344 0.5000 x3
Au 0.0000 0.0000 0.5000 x1

VASP calculation (PBE) on a relaxed Ti2Pd8Au crystal.

Summary:
E_tot	-5.952	eV/atom
spin magnetization	0.00	μB per formula unit
DFT formation energy	-0.44	eV/atom
DOS(E_F)	14.3	states/eV per cell

a b c (Å): 14.1517 3.9807 6.4045
angles (deg): 90.00 107.27 90.00
Space group C2/m (No. 12)
Asymmetric unit:
Ti 0.2193 0.0000 0.1638 x4
Pd 0.0456 0.0000 0.2244 x4
Pd 0.1005 0.5000 0.9606 x4
Pd 0.1500 0.0000 0.7123 x4
Pd 0.1806 0.5000 0.4120 x4
Au 0.0000 0.5000 0.5000 x2

VASP calculation (PBE) on a relaxed Ti2Pd2Au crystal.

Summary:
E_tot	-6.367	eV/atom
polymorph energy (0 for the lowest one)	0	meV per atom
spin magnetization	0.00	μB per formula unit
DFT formation energy	-0.48	eV/atom
DOS(E_F)	11.4	states/eV per cell

a b c (Å): 7.3544 7.3544 3.0474
angles (deg): 90.00 90.00 90.00
Space group P4/mbm (No. 127)
Asymmetric unit:
Ti 0.1707 0.3293 0.0000 x4
Pd 0.1300 0.6300 0.5000 x4
Au 0.0000 0.0000 0.5000 x2

VASP calculation (PBE) on a relaxed Ti2Pd2Au3 crystal.

Summary:
E_tot	-5.385	eV/atom
polymorph energy (0 for the lowest one)	250	meV per atom
spin magnetization	0.00	μB per formula unit
DFT formation energy	-0.24	eV/atom
DOS(E_F)	14.2	states/eV per cell

a b c (Å): 4.1291 21.3315 2.7935
angles (deg): 90.00 90.00 90.00
Space group Cmmm (No. 65)
Asymmetric unit:
Ti 0.0000 0.0764 0.0000 x4
Pd 0.0000 0.3731 0.5000 x4
Au 0.0000 0.2076 0.5000 x4
Au 0.0000 0.5000 0.5000 x2

VASP calculation (PBE) on a relaxed Ti2Pd6Au crystal.

Summary:
E_tot	-6.093	eV/atom
polymorph energy (0 for the lowest one)	0	meV per atom
spin magnetization	0.00	μB per formula unit
DFT formation energy	-0.51	eV/atom
DOS(E_F)	15.0	states/eV per cell

a b c (Å): 8.9097 3.9509 8.3816
angles (deg): 90.00 108.40 90.00
Space group C2/m (No. 12)
Asymmetric unit:
Ti 0.1767 0.0000 0.2354 x4
Pd 0.0022 0.5000 0.3313 x4
Pd 0.1671 0.0000 0.5559 x4
Pd 0.1666 0.0000 0.8888 x4
Au 0.0000 0.5000 0.0000 x2

Question: Among the records above, which one has the lowest DOS(E_F)?
Answer: number 4

Question: E_tot of number 2 (TiPd2Au)?
Answer: -5.720 eV/atom